Entry 1:
! AgOs2 | Alexandria via LeMat-Bulk | PBE | optimized geometry; values from VASP
! * calculated formation energy: 0.81 eV/atom
! * polymorph energy (0 for the lowest one): 0.424 eV per atom
! * magnetization: 0.00 μB/f.u.
! * D(E_F): 3.9 states/eV/cell
! * crystal system: hexagonal
! * volume: 47 Å³ per cell
&SYSTEM
  ibrav = 0, nat = 3, ntyp = 2
/
ATOMIC_SPECIES
Os 190.23 Os.upf
Ag 107.87 Ag.upf
ATOMIC_POSITIONS angstrom
Os 0.715 -2.761 0.576
Os -0.319 -2.318 -1.733
Ag 0.000 0.000 0.000
CELL_PARAMETERS angstrom
-0.341 -0.990 -4.323
2.757 -2.326 2.603
-2.020 -1.764 0.563

Entry 2:
! AgOs | Alexandria via LeMat-Bulk | PBE | optimized geometry; values from VASP
! * calculated formation energy: 2.09 eV/atom
! * polymorph energy (0 for the lowest one): 1.774 eV per atom
! * magnetization: 1.48 μB/f.u.
! * D(E_F): 5.6 states/eV/cell
! * crystal system: hexagonal
! * volume: 76 Å³ per cell
&SYSTEM
  ibrav = 0, nat = 4, ntyp = 2
/
ATOMIC_SPECIES
Ag 107.87 Ag.upf
Os 190.23 Os.upf
ATOMIC_POSITIONS angstrom
Ag 0.000 0.000 0.000
Ag -2.495 -0.531 0.850
Os -4.605 0.165 -0.658
Os -1.612 -1.575 -1.462
CELL_PARAMETERS angstrom
-1.363 3.232 -1.980
0.134 -3.580 -1.841
-4.989 -1.061 1.701

Entry 3:
! AgOs4 | Alexandria via LeMat-Bulk | PBE | optimized geometry; values from VASP
! * calculated formation energy: 3.56 eV/atom
! * polymorph energy (0 for the lowest one): 3.002 eV per atom
! * magnetization: 0.31 μB/f.u.
! * D(E_F): 8.4 states/eV/cell
! * crystal system: cubic
! * volume: 99 Å³ per cell
&SYSTEM
  ibrav = 0, nat = 5, ntyp = 2
/
ATOMIC_SPECIES
Os 190.23 Os.upf
Ag 107.87 Ag.upf
ATOMIC_POSITIONS angstrom
Os -0.878 2.263 -2.194
Os 0.000 0.000 0.000
Os -2.886 1.517 0.279
Os -2.395 -0.635 -2.136
Ag -3.079 1.572 -2.026
CELL_PARAMETERS angstrom
-1.368 4.415 0.222
-0.387 0.111 -4.609
-4.403 -1.381 0.336

Entry 4:
! AgOs7 | Alexandria via LeMat-Bulk | PBE | optimized geometry; values from VASP
! * calculated formation energy: 0.51 eV/atom
! * magnetization: 0.00 μB/f.u.
! * D(E_F): 7.4 states/eV/cell
! * crystal system: cubic
! * volume: 117 Å³ per cell
&SYSTEM
  ibrav = 0, nat = 8, ntyp = 2
/
ATOMIC_SPECIES
Os 190.23 Os.upf
Ag 107.87 Ag.upf
ATOMIC_POSITIONS angstrom
Os 0.000 1.941 1.941
Os 1.941 1.941 0.000
Os 1.941 3.882 1.941
Os 1.941 1.941 3.882
Os 3.882 1.941 1.941
Os 1.941 0.000 1.941
Os 3.882 3.882 3.882
Ag 0.000 0.000 0.000
CELL_PARAMETERS angstrom
0.000 3.882 3.882
3.882 0.000 3.882
3.882 3.882 0.000

Entry 5:
! AgOs2 | Alexandria via LeMat-Bulk | PBE | optimized geometry; values from VASP
! * calculated formation energy: 1.27 eV/atom
! * polymorph energy (0 for the lowest one): 0.881 eV per atom
! * magnetization: 0.00 μB/f.u.
! * D(E_F): 5.8 states/eV/cell
! * crystal system: tetragonal
! * volume: 98 Å³ per cell
&SYSTEM
  ibrav = 0, nat = 6, ntyp = 2
/
ATOMIC_SPECIES
Ag 107.87 Ag.upf
Os 190.23 Os.upf
ATOMIC_POSITIONS angstrom
Ag 0.227 0.836 0.870
Ag 0.680 2.509 2.610
Os -2.083 -0.653 1.171
Os -1.960 2.222 1.840
Os 0.009 -2.932 2.816
Os 0.132 -0.056 3.485
CELL_PARAMETERS angstrom
4.127 -0.570 2.938
-3.220 3.915 0.542
-2.858 -4.054 1.176

Entry 6:
! Ag2Os | Alexandria via LeMat-Bulk | PBE | optimized geometry; values from VASP
! * calculated formation energy: 0.60 eV/atom
! * polymorph energy (0 for the lowest one): 0.146 eV per atom
! * magnetization: 0.00 μB/f.u.
! * D(E_F): 4.4 states/eV/cell
! * crystal system: orthorhombic
! * volume: 205 Å³ per cell
&SYSTEM
  ibrav = 0, nat = 12, ntyp = 2
/
ATOMIC_SPECIES
Os 190.23 Os.upf
Ag 107.87 Ag.upf
ATOMIC_POSITIONS angstrom
Os 2.823 3.287 3.608
Os 0.003 1.096 7.739
Os 5.649 3.287 0.523
Os 2.829 1.096 4.655
Ag 1.409 1.096 2.067
Ag 4.235 1.096 2.065
Ag 2.822 3.287 0.827
Ag 0.004 1.096 4.958
Ag 2.830 1.096 7.436
Ag 1.416 3.287 6.198
Ag 5.648 3.287 3.305
Ag 4.242 3.287 6.196
CELL_PARAMETERS angstrom
5.652 0.000 0.000
0.000 4.383 0.000
0.000 0.000 8.263